# GGA-PBE KBa2Ga3Ag12, relaxed
data_KBa2Ga3Ag12
_chemical_formula_sum 'K1 Ba2 Ga3 Ag12'
_cell_length_a 9.375
_cell_length_b 9.375
_cell_length_c 9.375
_cell_angle_alpha 57.89
_cell_angle_beta 57.89
_cell_angle_gamma 57.89
_space_group_name_H-M_alt 'P 1'
_space_group_IT_number 1
_space_group_name_Hall 'P 1'
loop_
_atom_site_label
_atom_site_type_symbol
_atom_site_fract_x
_atom_site_fract_y
_atom_site_fract_z
K1 K 0.000 0.000 0.000
Ba1 Ba 0.404 0.404 0.404
Ba2 Ba 0.596 0.596 0.596
Ga1 Ga 0.000 0.000 0.500
Ga2 Ga 0.000 0.500 0.000
Ga3 Ga 0.500 0.000 0.000
Ag1 Ag 0.138 0.665 0.665
Ag2 Ag 0.166 0.166 0.476
Ag3 Ag 0.166 0.476 0.166
Ag4 Ag 0.335 0.335 0.862
Ag5 Ag 0.335 0.862 0.335
Ag6 Ag 0.476 0.166 0.166
Ag7 Ag 0.524 0.834 0.834
Ag8 Ag 0.665 0.138 0.665
Ag9 Ag 0.665 0.665 0.138
Ag10 Ag 0.834 0.524 0.834
Ag11 Ag 0.834 0.834 0.524
Ag12 Ag 0.862 0.335 0.335
# * magnetic moment: 0.0 μB/cell
# * Fermi-level density of states: 5.10 states/eV/cell
# * total energy: -45.835 eV/f.u.
# * SG: R-3m, No. 166